Here is a geometry-optimized Rb4ScBr6 structure from Alexandria. Energies are from PBE.

Lattice parameters (Å, degrees): 9.4403 9.4403 9.6987 90.00 90.00 90.00
Atoms (fractional coordinates):
1 Rb 0.1715 0.3285 0.2500
2 Rb 0.1715 0.3285 0.7500
3 Rb 0.3285 0.8285 0.2500
4 Rb 0.3285 0.8285 0.7500
5 Rb 0.6715 0.1715 0.2500
6 Rb 0.6715 0.1715 0.7500
7 Rb 0.8285 0.6715 0.2500
8 Rb 0.8285 0.6715 0.7500
9 Sc 0.0000 0.0000 0.0000
10 Sc 0.5000 0.5000 0.5000
11 Br 0.0000 0.0000 0.2816
12 Br 0.0000 0.0000 0.7184
13 Br 0.0911 0.7103 0.0000
14 Br 0.2103 0.5911 0.5000
15 Br 0.2897 0.0911 0.0000
16 Br 0.4089 0.2103 0.5000
17 Br 0.5000 0.5000 0.2184
18 Br 0.5000 0.5000 0.7816
19 Br 0.5911 0.7897 0.5000
20 Br 0.7103 0.9089 0.0000
21 Br 0.7897 0.4089 0.5000
22 Br 0.9089 0.2897 0.0000

---

Here is a geometry-optimized Rb3Sc2Br8 structure from Alexandria. Energies are from PBE.

Lattice parameters (Å, degrees): 7.9879 7.9879 10.6758 111.83 111.83 60.12
Atoms (fractional coordinates):
1 Rb 0.0000 0.0000 0.0000
2 Rb 0.2004 0.2004 0.6016
3 Rb 0.7996 0.7996 0.3984
4 Sc 0.4059 0.4059 0.2148
5 Sc 0.5941 0.5941 0.7852
6 Br 0.2165 0.7389 0.6932
7 Br 0.2611 0.7835 0.3068
8 Br 0.2620 0.2620 0.3058
9 Br 0.3198 0.3198 0.9504
10 Br 0.6802 0.6802 0.0496
11 Br 0.7380 0.7380 0.6942
12 Br 0.7389 0.2165 0.6932
13 Br 0.7835 0.2611 0.3068

---

Here is a geometry-optimized Rb2Sc3Br10 structure from Alexandria. Energies are from PBE.

Lattice parameters (Å, degrees): 13.3563 13.3563 10.7285 110.50 110.50 33.82
Atoms (fractional coordinates):
1 Rb 0.1219 0.1219 0.2329
2 Rb 0.2312 0.2312 0.8285
3 Rb 0.7688 0.7688 0.1715
4 Rb 0.8781 0.8781 0.7671
5 Sc 0.2577 0.7423 0.5000
6 Sc 0.3186 0.3186 0.4689
7 Sc 0.4216 0.4216 0.0177
8 Sc 0.5784 0.5784 0.9823
9 Sc 0.6814 0.6814 0.5311
10 Sc 0.7423 0.2577 0.5000
11 Br 0.0000 0.5000 0.5000
12 Br 0.0154 0.0154 0.6797
13 Br 0.1121 0.6054 0.0352
14 Br 0.1357 0.6412 0.4581
15 Br 0.2642 0.2642 0.2151
16 Br 0.2697 0.7303 0.0000
17 Br 0.3588 0.8643 0.5419
18 Br 0.3704 0.3704 0.7466
19 Br 0.3946 0.8879 0.9648
20 Br 0.4812 0.4812 0.3025
21 Br 0.5000 0.0000 0.5000
22 Br 0.5188 0.5188 0.6975
23 Br 0.6054 0.1121 0.0352
24 Br 0.6296 0.6296 0.2534
25 Br 0.6412 0.1357 0.4581
26 Br 0.7303 0.2697 0.0000
27 Br 0.7358 0.7358 0.7849
28 Br 0.8643 0.3588 0.5419
29 Br 0.8879 0.3946 0.9648
30 Br 0.9846 0.9846 0.3203

---

Here is a geometry-optimized RbScBr3 structure from Alexandria. Energies are from PBE.

Lattice parameters (Å, degrees): 10.5345 10.5345 10.5345 114.03 114.03 100.69
Atoms (fractional coordinates):
1 Rb 0.1827 0.1827 0.0000
2 Rb 0.8173 0.8173 0.0000
3 Sc 0.5000 0.5000 0.0000
4 Sc 0.7500 0.2500 0.5000
5 Br 0.2119 0.3830 0.8289
6 Br 0.5542 0.3830 0.1711
7 Br 0.5629 0.0629 0.5000
8 Br 0.6170 0.4458 0.8289
9 Br 0.6170 0.7881 0.1711
10 Br 0.9371 0.4371 0.5000

---

Number 1: ΔE_f (raw) -1643 meV per atom, size of the total moment 0.09 μB per atom. Number 2: ΔE_f (raw) -1618 meV per atom, size of the total moment 0.08 μB per atom. Number 3: ΔE_f (raw) -1672 meV per atom, size of the total moment 0.07 μB per atom. Number 4: ΔE_f (raw) -1172 meV per atom, size of the total moment 0.10 μB per atom.